Below is crystalline CeErAg at its relaxed geometry, with properties calculated at the PBE level.

Calculated values
**ΔE_f**: -11.4 kJ per mole of atoms
**M_tot**: 0.706 μB/f.u.
**E above lowest polymorph**: 0.0 kJ per mole of atoms
**Raw total energy**: -54.8 eV/cell

Cell lengths 3.4583, 16.9641, 5.2197 Å; angles 90.00, 90.00, 90.00 degrees
Last column: nearest neighbours and their distance in Å.
Atoms (fractional coordinates):
Ce 0.0000 0.2301 0.2500  6 Ce 3.20-3.46, 2 Ag 3.21
Ce 0.0000 0.7699 0.7500  6 Ce 3.20-3.46, 2 Ag 3.21
Ce 0.5000 0.2699 0.7500  6 Ce 3.20-3.46, 2 Ag 3.21
Ce 0.5000 0.7301 0.2500  6 Ce 3.20-3.46, 2 Ag 3.21
Er 0.0000 0.0809 0.7500  6 Ag 3.10-3.14, 2 Er 3.46
Er 0.0000 0.9191 0.2500  6 Ag 3.10-3.14, 2 Er 3.46
Er 0.5000 0.4191 0.2500  6 Ag 3.10-3.14, 2 Er 3.46
Er 0.5000 0.5809 0.7500  6 Ag 3.10-3.14, 2 Er 3.46
Ag 0.0000 0.4295 0.7500  6 Er 3.10-3.14, 2 Ce 3.21, 2 Ag 3.46
Ag 0.0000 0.5705 0.2500  6 Er 3.10-3.14, 2 Ce 3.21, 2 Ag 3.46
Ag 0.5000 0.0705 0.2500  6 Er 3.10-3.14, 2 Ce 3.21, 2 Ag 3.46
Ag 0.5000 0.9295 0.7500  6 Er 3.10-3.14, 2 Ce 3.21, 2 Ag 3.46